No. 1
Entry from Alexandria via LeMat-Bulk: a relaxed structure of TbPmCdIr (PBE-GGA).

```
16
Lattice="7.234 0.000 0.000 0.000 7.234 0.000 0.000 0.000 7.234" Properties=species:S:1:pos:R:3 pbc="T T T"
Tb 0.000 0.000 0.000
Tb 0.000 3.617 3.617
Tb 3.617 0.000 3.617
Tb 3.617 3.617 0.000
Pm 0.000 0.000 3.617
Pm 0.000 3.617 0.000
Pm 3.617 0.000 0.000
Pm 3.617 3.617 3.617
Cd 1.809 1.809 1.809
Cd 1.809 5.426 5.426
Cd 5.426 1.809 5.426
Cd 5.426 5.426 1.809
Ir 1.809 1.809 5.426
Ir 1.809 5.426 1.809
Ir 5.426 1.809 1.809
Ir 5.426 5.426 5.426
```

Summary:
* calculated volume: 379 Å³/cell
* density: 10.68 g cm⁻³
* DOS(E_F): 0.6691 states/eV per atom
* SG: F-43m
* VASP energy: -5.277 eV per atom

=====

No. 2
Entry from Alexandria via LeMat-Bulk: a relaxed structure of PmTmCdIr (PBE-GGA).

```
16
Lattice="7.173 0.000 0.000 0.000 7.173 0.000 0.000 0.000 7.173" Properties=species:S:1:pos:R:3 pbc="T T T"
Pm 0.000 0.000 0.000
Pm 0.000 3.587 3.587
Pm 3.587 0.000 3.587
Pm 3.587 3.587 0.000
Tm 0.000 0.000 3.587
Tm 0.000 3.587 0.000
Tm 3.587 0.000 0.000
Tm 3.587 3.587 3.587
Cd 1.793 1.793 5.380
Cd 1.793 5.380 1.793
Cd 5.380 1.793 1.793
Cd 5.380 5.380 5.380
Ir 1.793 1.793 1.793
Ir 1.793 5.380 5.380
Ir 5.380 1.793 5.380
Ir 5.380 5.380 1.793
```

Summary:
* calculated volume: 369 Å³/cell
* density: 11.13 g cm⁻³
* DOS(E_F): 0.6799 states/eV per atom
* SG: F-43m
* VASP energy: -5.259 eV per atom

=====

No. 3
Entry from Alexandria via LeMat-Bulk: a relaxed structure of PmZnCdIr (PBE-GGA).

```
16
Lattice="6.873 0.000 0.000 0.000 6.873 0.000 0.000 0.000 6.873" Properties=species:S:1:pos:R:3 pbc="T T T"
Pm 0.000 0.000 0.000
Pm 0.000 3.436 3.436
Pm 3.436 0.000 3.436
Pm 3.436 3.436 0.000
Zn 1.718 1.718 1.718
Zn 1.718 5.155 5.155
Zn 5.155 1.718 5.155
Zn 5.155 5.155 1.718
Cd 0.000 0.000 3.436
Cd 0.000 3.436 0.000
Cd 3.436 0.000 0.000
Cd 3.436 3.436 3.436
Ir 1.718 1.718 5.155
Ir 1.718 5.155 1.718
Ir 5.155 1.718 1.718
Ir 5.155 5.155 5.155
```

Summary:
* calculated volume: 325 Å³/cell
* density: 10.54 g cm⁻³
* DOS(E_F): 0.8301 states/eV per atom
* SG: F-43m
* VASP energy: -4.172 eV per atom

=====

No. 4
Entry from Alexandria via LeMat-Bulk: a relaxed structure of PmZrCdIr (PBE-GGA).

```
16
Lattice="7.052 0.000 0.000 0.000 7.052 0.000 0.000 0.000 7.052" Properties=species:S:1:pos:R:3 pbc="T T T"
Pm 0.000 0.000 0.000
Pm 0.000 3.526 3.526
Pm 3.526 0.000 3.526
Pm 3.526 3.526 0.000
Zr 0.000 0.000 3.526
Zr 0.000 3.526 0.000
Zr 3.526 0.000 0.000
Zr 3.526 3.526 3.526
Cd 1.763 1.763 5.289
Cd 1.763 5.289 1.763
Cd 5.289 1.763 1.763
Cd 5.289 5.289 5.289
Ir 1.763 1.763 1.763
Ir 1.763 5.289 5.289
Ir 5.289 1.763 5.289
Ir 5.289 5.289 1.763
```

Summary:
* calculated volume: 351 Å³/cell
* density: 10.24 g cm⁻³
* DOS(E_F): 0.6912 states/eV per atom
* SG: F-43m
* VASP energy: -6.069 eV per atom

=====

No. 5
Entry from Alexandria via LeMat-Bulk: a relaxed structure of Pr6CdIr (PBE-GGA).

```
8
Lattice="7.077 0.000 0.000 -3.538 6.141 0.000 -3.524 -2.043 6.755" Properties=species:S:1:pos:R:3 pbc="T T T"
Pr -0.899 -0.025 1.688
Pr -1.338 3.866 1.685
Pr -2.238 1.793 5.070
Pr 2.253 2.306 1.685
Pr 1.352 0.232 5.070
Pr 0.914 4.123 5.067
Cd 3.539 0.000 0.000
Ir 0.007 2.049 3.378
```

Summary:
* calculated volume: 294 Å³/cell
* density: 6.50 g cm⁻³
* DOS(E_F): 1.5173 states/eV per atom
* SG: P-1
* VASP energy: -4.867 eV per atom

=====

No. 6
Entry from Alexandria via LeMat-Bulk: a relaxed structure of Pr2CdIr2 (PBE-GGA).

```
10
Lattice="5.177 -2.828 0.000 5.177 2.828 0.000 -2.573 0.000 8.079" Properties=species:S:1:pos:R:3 pbc="T T T"
Pr 1.484 1.928 6.892
Pr 5.010 1.928 5.226
Pr 2.771 -1.928 2.853
Pr 6.296 -1.928 1.186
Cd 4.533 0.849 2.020
Cd 3.247 -0.849 6.059
Ir 2.448 0.889 3.902
Ir 6.619 0.889 0.137
Ir 1.162 -0.889 7.941
Ir 5.332 -0.889 4.177
```

Summary:
* calculated volume: 237 Å³/cell
* density: 10.93 g cm⁻³
* DOS(E_F): 0.4129 states/eV per atom
* SG: C2/c
* VASP energy: -6.190 eV per atom

=====

No. 7
Entry from Alexandria via LeMat-Bulk: a relaxed structure of Pr8CdIr2 (PBE-GGA).

```
11
Lattice="7.722 -3.539 0.000 7.722 3.539 0.000 -0.878 0.000 6.521" Properties=species:S:1:pos:R:3 pbc="T T T"
Pr 0.834 0.000 2.220
Pr 5.637 1.736 0.752
Pr 4.040 0.000 4.069
Pr 8.929 1.736 5.769
Pr 5.637 -1.736 0.752
Pr 10.526 0.000 2.452
Pr 8.929 -1.736 5.769
Pr 13.732 0.000 4.301
Cd 7.283 0.000 3.261
Ir 3.381 0.000 1.213
Ir 11.185 0.000 5.308
```

Summary:
* calculated volume: 356 Å³/cell
* density: 7.57 g cm⁻³
* DOS(E_F): 1.1920 states/eV per atom
* SG: C2/m
* energy above the most stable polymorph in this dataset: 0.0000 eV/atom

=====

No. 8
Entry from Alexandria via LeMat-Bulk: a relaxed structure of Pr7Cd2Ir2 (PBE-GGA).

```
11
Lattice="-1.971 7.925 5.357 1.971 -7.925 5.357 1.971 7.925 -5.357" Properties=species:S:1:pos:R:3 pbc="T T T"
Pr 0.000 0.000 0.000
Pr 1.971 -2.442 2.125
Pr 1.971 5.260 0.015
Pr 1.971 2.442 2.125
Pr 0.000 5.604 3.212
Pr 0.000 2.666 5.372
Pr 0.000 10.247 3.212
Cd 0.000 0.000 3.350
Cd 0.000 7.925 0.564
Ir 1.971 -4.849 5.277
Ir 1.971 4.849 5.277
```

Summary:
* calculated volume: 335 Å³/cell
* density: 7.92 g cm⁻³
* DOS(E_F): 1.1873 states/eV per atom
* SG: Imm2
* energy above the most stable polymorph in this dataset: 0.0000 eV/atom

=====

No. 9
Entry from Alexandria via LeMat-Bulk: a relaxed structure of Pr3CdIr8 (PBE-GGA).

```
12
Lattice="2.709 1.564 8.861 -2.709 1.564 8.861 0.000 -3.129 8.861" Properties=species:S:1:pos:R:3 pbc="T T T"
Pr 0.000 0.000 0.000
Pr 0.000 0.000 3.390
Pr 0.000 0.000 16.496
Cd 0.000 0.000 13.230
Ir 0.000 -1.564 6.058
Ir -1.355 0.782 6.058
Ir -1.351 -0.780 10.529
Ir 0.000 0.000 8.296
Ir 1.355 0.782 6.058
Ir 1.351 -0.780 10.529
Ir 0.000 1.560 10.529
Ir 0.000 0.000 21.591
```

Summary:
* calculated volume: 225 Å³/cell
* density: 15.27 g cm⁻³
* DOS(E_F): 1.1975 states/eV per atom
* SG: R3m
* VASP energy: -7.655 eV per atom

=====

No. 10
Entry from Alexandria via LeMat-Bulk: a relaxed structure of Pr3CdIr (PBE-GGA).

```
10
Lattice="8.190 -2.135 0.000 8.190 2.135 0.000 -5.894 0.000 8.768" Properties=species:S:1:pos:R:3 pbc="T T T"
Pr -1.119 0.000 3.995
Pr 4.256 0.000 1.658
Pr 1.283 0.000 6.894
Pr 9.204 0.000 1.874
Pr 6.232 0.000 7.110
Pr 11.607 0.000 4.773
Cd -4.339 0.000 8.100
Cd 14.827 0.000 0.668
Ir 1.969 0.000 3.576
Ir 8.519 0.000 5.192
```

Summary:
* calculated volume: 307 Å³/cell
* density: 7.88 g cm⁻³
* DOS(E_F): 1.0813 states/eV per atom
* SG: C2/m
* energy above the most stable polymorph in this dataset: 0.0324 eV/atom

=====

No. 11
Entry from Alexandria via LeMat-Bulk: a relaxed structure of Pr5Cd4Ir (PBE-GGA).

```
10
Lattice="3.761 0.000 0.000 0.000 3.761 0.000 0.000 0.000 19.743" Properties=species:S:1:pos:R:3 pbc="T T T"
Pr 0.000 0.000 0.000
Pr 0.000 0.000 4.073
Pr 0.000 0.000 8.229
Pr 0.000 0.000 11.513
Pr 0.000 0.000 15.670
Cd 1.880 1.880 2.029
Cd 1.880 1.880 6.060
Cd 1.880 1.880 13.683
Cd 1.880 1.880 17.714
Ir 1.880 1.880 9.871
```

Summary:
* calculated volume: 279 Å³/cell
* density: 8.01 g cm⁻³
* DOS(E_F): 0.8949 states/eV per atom
* SG: P4/mmm
* VASP energy: -4.006 eV per atom

=====

No. 12
Entry from Alexandria via LeMat-Bulk: a relaxed structure of Pr2Cd3Ir2 (PBE-GGA).

```
14
Lattice="10.441 0.000 0.000 0.000 4.362 0.000 -1.201 0.000 7.213" Properties=species:S:1:pos:R:3 pbc="T T T"
Pr 0.882 0.000 2.567
Pr 3.137 2.181 4.646
Pr 6.102 2.181 2.567
Pr 8.358 0.000 4.646
Cd 0.000 2.181 0.000
Cd 0.969 0.000 6.271
Cd 3.051 2.181 0.942
Cd 5.220 0.000 0.000
Cd 6.189 2.181 6.271
Cd 8.271 0.000 0.942
Ir 0.087 2.181 4.677
Ir 3.932 0.000 2.536
Ir 5.308 0.000 4.677
Ir 9.152 2.181 2.536
```

Summary:
* calculated volume: 328 Å³/cell
* density: 10.15 g cm⁻³
* DOS(E_F): 0.6602 states/eV per atom
* SG: C2/m
* VASP energy: -4.683 eV per atom

=====

No. 13
Entry from Alexandria via LeMat-Bulk: a relaxed structure of Pr4Cd5Ir2 (PBE-GGA).

```
11
Lattice="7.821 0.000 0.000 0.000 3.844 0.000 -0.755 0.000 9.779" Properties=species:S:1:pos:R:3 pbc="T T T"
Pr 1.067 0.000 3.428
Pr 1.008 0.000 9.261
Pr 6.058 0.000 0.519
Pr 5.999 0.000 6.352
Cd 0.970 1.922 6.391
Cd 3.397 1.922 1.764
Cd 3.533 1.922 4.890
Cd 3.669 1.922 8.015
Cd 6.096 1.922 3.388
Ir 0.457 1.922 1.397
Ir 6.609 1.922 8.382
```

Summary:
* calculated volume: 294 Å³/cell
* density: 8.53 g cm⁻³
* DOS(E_F): 0.6071 states/eV per atom
* SG: P2/m
* VASP energy: -4.190 eV per atom

=====

No. 14
Entry from Alexandria via LeMat-Bulk: a relaxed structure of Pr3CdIr (PBE-GGA).

```
10
Lattice="5.048 -3.463 0.000 5.048 3.463 0.000 -5.038 0.000 8.208" Properties=species:S:1:pos:R:3 pbc="T T T"
Pr -0.585 0.000 2.307
Pr 2.525 0.000 0.786
Pr -0.576 0.000 5.893
Pr 5.634 0.000 2.316
Pr 2.533 0.000 7.422
Pr 5.643 0.000 5.901
Cd 2.529 1.396 4.104
Cd 2.529 -1.396 4.104
Ir 5.048 1.727 0.000
Ir 5.048 -1.727 0.000
```

Summary:
* calculated volume: 287 Å³/cell
* density: 8.42 g cm⁻³
* DOS(E_F): 0.9150 states/eV per atom
* SG: C2/m
* energy above the most stable polymorph in this dataset: 0.0000 eV/atom

=====

No. 15
Entry from Alexandria via LeMat-Bulk: a relaxed structure of Pr3Cd5Ir2 (PBE-GGA).

```
20
Lattice="-6.238 6.355 3.157 6.238 -6.355 3.157 6.238 6.355 -3.157" Properties=species:S:1:pos:R:3 pbc="T T T"
Pr 8.140 3.149 0.000
Pr 0.000 0.000 1.579
Pr 1.902 3.205 0.000
Pr 4.336 3.149 3.157
Pr 0.000 0.000 4.736
Pr -1.902 3.205 3.157
Cd 5.042 2.003 0.000
Cd 3.278 0.000 1.579
Cd 6.238 0.000 1.579
Cd 9.199 0.000 1.579
Cd 5.042 -2.003 3.157
Cd 1.196 8.358 0.000
Cd -2.960 6.355 1.579
Cd 0.000 6.355 1.579
Cd 2.960 6.355 1.579
Cd 1.196 4.352 3.157
Ir 10.678 1.766 0.000
Ir 4.440 4.589 0.000
Ir 1.798 1.766 3.157
Ir -4.440 4.589 3.157
```

Summary:
* calculated volume: 501 Å³/cell
* density: 9.08 g cm⁻³
* DOS(E_F): 0.7110 states/eV per atom
* SG: Ibam
* VASP energy: -3.919 eV per atom

=====

No. 16
Entry from Alexandria via LeMat-Bulk: a relaxed structure of Pr8Cd2Ir (PBE-GGA).

```
11
Lattice="9.309 -2.705 0.000 9.309 2.705 0.000 -1.767 0.000 6.870" Properties=species:S:1:pos:R:3 pbc="T T T"
Pr -0.119 0.000 1.953
Pr 2.366 0.000 5.476
Pr 5.538 0.000 3.746
Pr 7.511 0.000 0.500
Pr 9.339 0.000 6.370
Pr 11.313 0.000 3.125
Pr 14.485 0.000 1.395
Pr 16.970 0.000 4.918
Cd 3.090 0.000 1.568
Cd 13.761 0.000 5.303
Ir 8.425 0.000 3.435
```

Summary:
* calculated volume: 346 Å³/cell
* density: 7.41 g cm⁻³
* DOS(E_F): 1.1097 states/eV per atom
* SG: C2/m
* VASP energy: -4.659 eV per atom

=====

No. 17
Entry from Alexandria via LeMat-Bulk: a relaxed structure of Pr5CdIr2 (PBE-GGA).

```
16
Lattice="-4.062 4.062 6.996 4.062 -4.062 6.996 4.062 4.062 -6.996" Properties=species:S:1:pos:R:3 pbc="T T T"
Pr 0.000 0.000 0.000
Pr 5.373 1.311 -1.850
Pr 1.311 2.751 -1.850
Pr 5.373 1.311 1.850
Pr 1.311 2.751 1.850
Pr 0.000 0.000 6.996
Pr 2.751 1.311 5.146
Pr -1.311 2.751 5.146
Pr 2.751 1.311 8.846
Pr -1.311 2.751 8.846
Cd 0.000 0.000 3.498
Cd 0.000 0.000 10.494
Ir 2.945 1.117 0.000
Ir 2.945 -1.117 6.996
Ir 1.117 5.179 0.000
Ir 1.117 2.945 6.996
```

Summary:
* calculated volume: 462 Å³/cell
* density: 8.64 g cm⁻³
* DOS(E_F): 1.0179 states/eV per atom
* SG: I4/mcm
* VASP energy: -5.794 eV per atom

=====

No. 18
Entry from Alexandria via LeMat-Bulk: a relaxed structure of Pr3CdIr (PBE-GGA).

```
5
Lattice="5.600 0.000 0.000 0.000 5.600 0.000 0.000 0.000 5.600" Properties=species:S:1:pos:R:3 pbc="T T T"
Pr 0.000 0.000 2.800
Pr 0.000 2.800 0.000
Pr 2.800 0.000 0.000
Cd 2.800 2.800 2.800
Ir 0.000 0.000 0.000
```

Summary:
* calculated volume: 176 Å³/cell
* density: 6.88 g cm⁻³
* DOS(E_F): 1.0017 states/eV per atom
* SG: Pm-3m
* energy above the most stable polymorph in this dataset: 0.1861 eV/atom

=====

No. 19
Entry from Alexandria via LeMat-Bulk: a relaxed structure of Pr7Cd2Ir2 (PBE-GGA).

```
11
Lattice="4.196 -5.679 0.000 4.196 5.679 0.000 0.000 0.000 7.429" Properties=species:S:1:pos:R:3 pbc="T T T"
Pr 0.000 0.000 0.000
Pr 2.098 2.840 1.866
Pr 2.098 2.840 5.563
Pr 2.098 -2.840 1.866
Pr 2.098 -2.840 5.563
Pr 4.196 0.000 1.811
Pr 4.196 0.000 5.618
Cd 1.435 0.000 3.714
Cd 6.956 0.000 3.714
Ir 4.196 2.407 0.000
Ir 4.196 -2.407 0.000
```

Summary:
* calculated volume: 354 Å³/cell
* density: 7.48 g cm⁻³
* DOS(E_F): 1.1845 states/eV per atom
* SG: Cmmm
* energy above the most stable polymorph in this dataset: 0.0040 eV/atom

=====

No. 20
Entry from Alexandria via LeMat-Bulk: a relaxed structure of Pr8CdIr2 (PBE-GGA).

```
11
Lattice="4.429 -6.997 0.000 4.429 6.997 0.000 -1.411 0.000 5.605" Properties=species:S:1:pos:R:3 pbc="T T T"
Pr 0.000 0.000 0.000
Pr 0.788 1.767 3.547
Pr 3.223 3.472 1.101
Pr 0.788 -1.767 3.547
Pr 4.251 1.766 4.258
Pr 3.223 -3.472 1.101
Pr 4.251 -1.766 4.258
Pr 6.456 0.000 2.203
Cd 3.231 0.000 1.099
Ir 2.520 4.147 3.904
Ir 2.520 -4.147 3.904
```

Summary:
* calculated volume: 347 Å³/cell
* density: 7.76 g cm⁻³
* DOS(E_F): 1.3029 states/eV per atom
* SG: Cm
* energy above the most stable polymorph in this dataset: 0.0146 eV/atom

=====

No. 21
Entry from Alexandria via LeMat-Bulk: a relaxed structure of Pr12Cd6Ir (PBE-GGA).

```
19
Lattice="6.289 3.631 4.550 -6.289 3.631 4.550 0.000 -7.262 4.550" Properties=species:S:1:pos:R:3 pbc="T T T"
Pr -5.606 -1.551 7.609
Pr -1.460 -5.631 6.040
Pr -1.428 -1.654 5.035
Pr -4.146 4.080 6.040
Pr -0.718 2.063 5.035
Pr -2.146 0.410 8.614
Pr 2.146 -0.410 5.035
Pr 0.718 -2.063 8.614
Pr 4.146 -4.080 7.609
Pr 1.428 1.654 8.614
Pr 1.460 5.631 7.609
Pr 5.606 1.551 6.040
Cd -3.777 0.753 5.839
Cd -2.540 -2.895 7.810
Cd 1.237 -3.647 5.839
Cd -1.237 3.647 7.810
Cd 2.540 2.895 5.839
Cd 3.777 -0.753 7.810
Ir 0.000 0.000 6.824
```

Summary:
* calculated volume: 623 Å³/cell
* density: 6.81 g cm⁻³
* DOS(E_F): 1.4000 states/eV per atom
* SG: R-3
* VASP energy: -3.920 eV per atom